(1)
Compound: Ta2InTc
Source: the Alexandria database
Functional: GGA-PBE
Structure: optimized geometry

```
data_Ta2InTc
_symmetry_space_group_name_H-M 'P 1 2/m 1'
_symmetry_Int_Tables_number 10
_cell_length_a 3.0509
_cell_length_b 4.1018
_cell_length_c 5.8041
_cell_angle_alpha 90.00
_cell_angle_beta 96.47
_cell_angle_gamma 90.00
loop_
_symmetry_equiv_pos_as_xyz
'x,y,z'
'-x,-y,-z'
'-x,y,-z'
'x,-y,z'
loop_
_atom_site_label
_atom_site_fract_x
_atom_site_fract_y
_atom_site_fract_z
_atom_site_occupancy
Ta1 0.0588 0.0000 0.2758 1
In1 0.5000 0.5000 0.0000 1
Tc1 0.5000 0.5000 0.5000 1
```

Properties
* calculated formation energy: 0.25 eV/f.u.
* total energy: -36.6 eV per cell

---

(2)
Compound: Mn2FeCu
Source: the Alexandria database
Functional: GGA-PBE
Structure: optimized geometry

```
data_Mn2FeCu
_symmetry_space_group_name_H-M 'C 1 m 1'
_symmetry_Int_Tables_number 8
_cell_length_a 8.4241
_cell_length_b 2.5758
_cell_length_c 4.5022
_cell_angle_alpha 90.00
_cell_angle_beta 100.28
_cell_angle_gamma 90.00
loop_
_symmetry_equiv_pos_as_xyz
'x,y,z'
'x,-y,z'
'x+1/2,y+1/2,z'
'x+1/2,-y+1/2,z'
loop_
_atom_site_label
_atom_site_fract_x
_atom_site_fract_y
_atom_site_fract_z
_atom_site_occupancy
Mn1 0.0000 0.0000 0.0000 1
Mn2 0.2487 0.0000 0.7707 1
Fe1 0.2440 0.5000 0.2742 1
Cu1 0.4951 0.0000 0.4997 1
```

Properties
* calculated formation energy: 0.68 eV/f.u.
* total energy: -60.4 eV per cell
* energy relative to the lowest polymorph listed for this composition: 0.25 eV/f.u.

---

(3)
Compound: Y2TiMnTe
Source: the Alexandria database
Functional: GGA-PBE
Structure: optimized geometry

```
data_Y2TiMnTe
_symmetry_space_group_name_H-M 'P 4/m m m'
_symmetry_Int_Tables_number 123
_symmetry_space_group_name_Hall '-P 4 2'
_cell_length_a 5.6443
_cell_length_b 5.6443
_cell_length_c 4.7958
_cell_angle_alpha 90.00
_cell_angle_beta 90.00
_cell_angle_gamma 90.00
loop_
_atom_site_label
_atom_site_fract_x
_atom_site_fract_y
_atom_site_fract_z
_atom_site_occupancy
Y1 0.0000 0.5000 0.0000 1
Ti1 0.0000 0.0000 0.5000 1
Mn1 0.5000 0.5000 0.5000 1
Te1 0.5000 0.5000 0.0000 1
```

Properties
* uncorrected formation energy: 0.5836 eV/atom
* total energy: -30.2 eV per cell